Re2SbMo2: relaxed, PBE-GGA.

Cell lengths 7.694, 7.694, 2.949 Å; angles 90.00, 90.00, 90.00 degrees
Sites, in units of the cell vectors:
Mo 0.848 0.348 0.500
Re 0.365 0.865 0.000
Re 0.135 0.365 0.000
Sb 0.000 0.000 0.000
Re 0.635 0.135 0.000
Mo 0.152 0.652 0.500
Mo 0.348 0.152 0.500
Re 0.865 0.635 0.000
Mo 0.652 0.848 0.500
Sb 0.500 0.500 0.000

## Properties
**Theoretical density**: 13.051 Mg/m³
**Total moment**: 0.0 μB/f.u.
**V**: 17.46 Å³/atom
**E_form (uncorrected)**: 384 meV per atom